VASP calculation (PBE-GGA) on a relaxed structure of BaReRu3.

abc: 4.811 4.811 4.811
angles: 90.00 90.00 90.00
Atoms (fractional coordinates):
Ru  0.000  0.000  0.500
Ba  0.500  0.500  0.500
Ru  0.500  0.000  0.000
Re  0.000  0.000  0.000
Ru  0.000  0.500  0.000

Output
- energy of formation (eV/atom) = 0.96
- electronic total energy (eV per atom) = -7.476
- SG = Pm-3m